Entry 1:
First-principles (PBEsol) data for a relaxed TaMo7 crystal, as listed in Alexandria.

Results
* energy above the most stable polymorph in this dataset: 2 meV/atom

CIF file:
```
data_TaMo7
_chemical_formula_sum 'Ta1 Mo7'
_symmetry_space_group_name_H-M 'P 1'
_symmetry_Int_Tables_number 1
_cell_length_a 4.449
_cell_length_b 4.449
_cell_length_c 7.694
_cell_angle_alpha 73.20
_cell_angle_beta 73.20
_cell_angle_gamma 60.00
loop_
_symmetry_equiv_pos_as_xyz
'x,y,z'
loop_
_atom_site_label
_atom_site_type_symbol
_atom_site_fract_x
_atom_site_fract_y
_atom_site_fract_z
Mo1 Mo 0.626 0.626 0.121
Mo2 Mo 0.750 0.750 0.751
Mo3 Mo 0.876 0.876 0.371
Mo4 Mo 0.000 0.000 0.000
Mo5 Mo 0.124 0.124 0.629
Mo6 Mo 0.250 0.250 0.249
Mo7 Mo 0.374 0.374 0.879
Ta1 Ta 0.500 0.500 0.500
```

---

Entry 2:
First-principles (PBEsol) data for a relaxed Ta3Mo4 crystal, as listed in Alexandria.

Results
* E_tot: -85.8 eV/cell

CIF file:
```
data_Ta3Mo4
_chemical_formula_sum 'Ta3 Mo4'
_symmetry_space_group_name_H-M 'P 1'
_symmetry_Int_Tables_number 1
_cell_length_a 3.175
_cell_length_b 3.175
_cell_length_c 11.445
_cell_angle_alpha 97.97
_cell_angle_beta 97.97
_cell_angle_gamma 90.00
loop_
_symmetry_equiv_pos_as_xyz
'x,y,z'
loop_
_atom_site_label
_atom_site_type_symbol
_atom_site_fract_x
_atom_site_fract_y
_atom_site_fract_z
Mo1 Mo 0.140 0.140 0.280
Mo2 Mo 0.428 0.428 0.856
Mo3 Mo 0.572 0.572 0.144
Mo4 Mo 0.860 0.860 0.720
Ta1 Ta 0.000 0.000 0.000
Ta2 Ta 0.288 0.288 0.576
Ta3 Ta 0.712 0.712 0.424
```

---

Entry 3:
First-principles (PBEsol) data for a relaxed Ta3Mo5 crystal, as listed in Alexandria.

Results
* energy above the most stable polymorph in this dataset: 47 meV/atom

CIF file:
```
data_Ta3Mo5
_chemical_formula_sum 'Ta3 Mo5'
_symmetry_space_group_name_H-M 'P 1'
_symmetry_Int_Tables_number 1
_cell_length_a 4.487
_cell_length_b 5.259
_cell_length_c 5.530
_cell_angle_alpha 100.34
_cell_angle_beta 90.00
_cell_angle_gamma 90.00
loop_
_symmetry_equiv_pos_as_xyz
'x,y,z'
loop_
_atom_site_label
_atom_site_type_symbol
_atom_site_fract_x
_atom_site_fract_y
_atom_site_fract_z
Mo1 Mo 0.000 0.997 0.996
Mo2 Mo 0.500 0.252 0.876
Mo3 Mo 0.000 0.497 0.753
Mo4 Mo 0.000 0.006 0.499
Mo5 Mo 0.500 0.247 0.376
Ta1 Ta 0.500 0.749 0.623
Ta2 Ta 0.000 0.497 0.254
Ta3 Ta 0.500 0.755 0.123
```

---

Entry 4:
First-principles (PBEsol) data for a relaxed TaMo2 crystal, as listed in Alexandria.

Results
* E_tot: -73.0 eV/cell

CIF file:
```
data_TaMo2
_chemical_formula_sum 'Ta2 Mo4'
_symmetry_space_group_name_H-M 'P 1'
_symmetry_Int_Tables_number 1
_cell_length_a 3.165
_cell_length_b 5.276
_cell_length_c 6.353
_cell_angle_alpha 108.03
_cell_angle_beta 90.00
_cell_angle_gamma 107.45
loop_
_symmetry_equiv_pos_as_xyz
'x,y,z'
loop_
_atom_site_label
_atom_site_type_symbol
_atom_site_fract_x
_atom_site_fract_y
_atom_site_fract_z
Mo1 Mo 0.500 0.000 0.744
Mo2 Mo 0.165 0.330 0.580
Mo3 Mo 0.835 0.670 0.420
Mo4 Mo 0.500 0.000 0.256
Ta1 Ta 0.164 0.329 0.087
Ta2 Ta 0.836 0.671 0.913
```

---

Entry 5:
First-principles (PBEsol) data for a relaxed Ta3Mo5 crystal, as listed in Alexandria.

Results
* energy above the most stable polymorph in this dataset: 54 meV/atom

CIF file:
```
data_Ta3Mo5
_chemical_formula_sum 'Ta3 Mo5'
_symmetry_space_group_name_H-M 'P 1'
_symmetry_Int_Tables_number 1
_cell_length_a 5.482
_cell_length_b 5.482
_cell_length_c 5.533
_cell_angle_alpha 109.53
_cell_angle_beta 109.53
_cell_angle_gamma 108.98
loop_
_symmetry_equiv_pos_as_xyz
'x,y,z'
loop_
_atom_site_label
_atom_site_type_symbol
_atom_site_fract_x
_atom_site_fract_y
_atom_site_fract_z
Mo1 Mo 0.500 0.000 0.000
Mo2 Mo 0.000 0.500 0.500
Mo3 Mo 0.500 0.000 0.500
Mo4 Mo 0.000 0.500 0.000
Mo5 Mo 0.500 0.500 0.000
Ta1 Ta 0.000 0.000 0.500
Ta2 Ta 0.500 0.500 0.500
Ta3 Ta 0.000 0.000 0.000
```

---

Entry 6:
First-principles (PBEsol) data for a relaxed Ta3Mo crystal, as listed in Alexandria.

Results
* energy above the most stable polymorph in this dataset: 36 meV/atom

CIF file:
```
data_Ta3Mo
_chemical_formula_sum 'Ta3 Mo1'
_symmetry_space_group_name_H-M 'P 1'
_symmetry_Int_Tables_number 1
_cell_length_a 3.222
_cell_length_b 4.587
_cell_length_c 4.587
_cell_angle_alpha 90.00
_cell_angle_beta 90.00
_cell_angle_gamma 90.00
loop_
_symmetry_equiv_pos_as_xyz
'x,y,z'
loop_
_atom_site_label
_atom_site_type_symbol
_atom_site_fract_x
_atom_site_fract_y
_atom_site_fract_z
Mo1 Mo 0.000 0.000 0.000
Ta1 Ta 0.500 0.000 0.500
Ta2 Ta 0.500 0.500 0.000
Ta3 Ta 0.000 0.500 0.500
```

---

Entry 7:
First-principles (PBEsol) data for a relaxed Ta2Mo crystal, as listed in Alexandria.

Results
* energy above the most stable polymorph in this dataset: 75 meV/atom

CIF file:
```
data_Ta2Mo
_chemical_formula_sum 'Ta2 Mo1'
_symmetry_space_group_name_H-M 'P 1'
_symmetry_Int_Tables_number 1
_cell_length_a 2.833
_cell_length_b 2.833
_cell_length_c 6.911
_cell_angle_alpha 97.48
_cell_angle_beta 97.48
_cell_angle_gamma 111.42
loop_
_symmetry_equiv_pos_as_xyz
'x,y,z'
loop_
_atom_site_label
_atom_site_type_symbol
_atom_site_fract_x
_atom_site_fract_y
_atom_site_fract_z
Mo1 Mo 0.000 0.000 0.000
Ta1 Ta 0.662 0.662 0.325
Ta2 Ta 0.338 0.338 0.675
```

---

Entry 8:
First-principles (PBEsol) data for a relaxed Ta3Mo crystal, as listed in Alexandria.

Results
* energy above the most stable polymorph in this dataset: 0 meV/atom

CIF file:
```
data_Ta3Mo
_chemical_formula_sum 'Ta3 Mo1'
_symmetry_space_group_name_H-M 'P 1'
_symmetry_Int_Tables_number 1
_cell_length_a 3.215
_cell_length_b 4.597
_cell_length_c 5.379
_cell_angle_alpha 115.30
_cell_angle_beta 107.39
_cell_angle_gamma 90.00
loop_
_symmetry_equiv_pos_as_xyz
'x,y,z'
loop_
_atom_site_label
_atom_site_type_symbol
_atom_site_fract_x
_atom_site_fract_y
_atom_site_fract_z
Mo1 Mo 0.000 0.000 0.000
Ta1 Ta 0.740 0.240 0.480
Ta2 Ta 0.500 0.500 0.000
Ta3 Ta 0.260 0.760 0.520
```

---

Entry 9:
First-principles (PBEsol) data for a relaxed TaMo7 crystal, as listed in Alexandria.

Results
* energy above the most stable polymorph in this dataset: 2 meV/atom

CIF file:
```
data_TaMo7
_chemical_formula_sum 'Ta1 Mo7'
_symmetry_space_group_name_H-M 'P 1'
_symmetry_Int_Tables_number 1
_cell_length_a 3.143
_cell_length_b 4.445
_cell_length_c 8.894
_cell_angle_alpha 90.00
_cell_angle_beta 90.00
_cell_angle_gamma 90.00
loop_
_symmetry_equiv_pos_as_xyz
'x,y,z'
loop_
_atom_site_label
_atom_site_type_symbol
_atom_site_fract_x
_atom_site_fract_y
_atom_site_fract_z
Mo1 Mo 0.000 0.000 0.752
Mo2 Mo 0.500 0.000 0.000
Mo3 Mo 0.000 0.000 0.248
Mo4 Mo 0.500 0.000 0.500
Mo5 Mo 0.500 0.500 0.755
Mo6 Mo 0.000 0.500 0.000
Mo7 Mo 0.500 0.500 0.245
Ta1 Ta 0.000 0.500 0.500
```

---

Entry 10:
First-principles (PBEsol) data for a relaxed Ta3Mo crystal, as listed in Alexandria.

Results
* energy above the most stable polymorph in this dataset: 56 meV/atom

CIF file:
```
data_Ta3Mo
_chemical_formula_sum 'Ta3 Mo1'
_symmetry_space_group_name_H-M 'P 1'
_symmetry_Int_Tables_number 1
_cell_length_a 2.824
_cell_length_b 5.345
_cell_length_c 5.345
_cell_angle_alpha 116.97
_cell_angle_beta 100.14
_cell_angle_gamma 100.14
loop_
_symmetry_equiv_pos_as_xyz
'x,y,z'
loop_
_atom_site_label
_atom_site_type_symbol
_atom_site_fract_x
_atom_site_fract_y
_atom_site_fract_z
Mo1 Mo 0.000 0.000 0.000
Ta1 Ta 0.500 0.000 0.500
Ta2 Ta 0.500 0.500 0.000
Ta3 Ta 0.000 0.500 0.500
```

---

Entry 11:
First-principles (PBEsol) data for a relaxed TaMo2 crystal, as listed in Alexandria.

Results
* E_tot: -72.8 eV/cell

CIF file:
```
data_TaMo2
_chemical_formula_sum 'Ta2 Mo4'
_symmetry_space_group_name_H-M 'P 1'
_symmetry_Int_Tables_number 1
_cell_length_a 3.163
_cell_length_b 3.163
_cell_length_c 9.589
_cell_angle_alpha 90.00
_cell_angle_beta 90.00
_cell_angle_gamma 90.00
loop_
_symmetry_equiv_pos_as_xyz
'x,y,z'
loop_
_atom_site_label
_atom_site_type_symbol
_atom_site_fract_x
_atom_site_fract_y
_atom_site_fract_z
Mo1 Mo 0.500 0.000 0.758
Mo2 Mo 0.000 0.500 0.918
Mo3 Mo 0.500 0.000 0.082
Mo4 Mo 0.000 0.500 0.242
Ta1 Ta 0.500 0.000 0.410
Ta2 Ta 0.000 0.500 0.590
```

---

Entry 12:
First-principles (PBEsol) data for a relaxed Ta3Mo5 crystal, as listed in Alexandria.

Results
* energy above the most stable polymorph in this dataset: 54 meV/atom

CIF file:
```
data_Ta3Mo5
_chemical_formula_sum 'Ta3 Mo5'
_symmetry_space_group_name_H-M 'P 1'
_symmetry_Int_Tables_number 1
_cell_length_a 4.495
_cell_length_b 4.495
_cell_length_c 7.774
_cell_angle_alpha 73.20
_cell_angle_beta 73.20
_cell_angle_gamma 60.00
loop_
_symmetry_equiv_pos_as_xyz
'x,y,z'
loop_
_atom_site_label
_atom_site_type_symbol
_atom_site_fract_x
_atom_site_fract_y
_atom_site_fract_z
Mo1 Mo 0.000 0.000 0.000
Mo2 Mo 0.126 0.126 0.621
Mo3 Mo 0.250 0.250 0.250
Mo4 Mo 0.500 0.500 0.500
Mo5 Mo 0.624 0.624 0.128
Ta1 Ta 0.373 0.373 0.880
Ta2 Ta 0.750 0.750 0.750
Ta3 Ta 0.877 0.877 0.370
```

---

Entry 13:
First-principles (PBEsol) data for a relaxed Ta2Mo crystal, as listed in Alexandria.

Results
* energy above the most stable polymorph in this dataset: 30 meV/atom

CIF file:
```
data_Ta2Mo
_chemical_formula_sum 'Ta4 Mo2'
_symmetry_space_group_name_H-M 'P 1'
_symmetry_Int_Tables_number 1
_cell_length_a 3.213
_cell_length_b 4.565
_cell_length_c 7.211
_cell_angle_alpha 108.45
_cell_angle_beta 90.00
_cell_angle_gamma 90.00
loop_
_symmetry_equiv_pos_as_xyz
'x,y,z'
loop_
_atom_site_label
_atom_site_type_symbol
_atom_site_fract_x
_atom_site_fract_y
_atom_site_fract_z
Mo1 Mo 0.000 0.165 0.331
Mo2 Mo 0.000 0.835 0.669
Ta1 Ta 0.500 0.000 0.000
Ta2 Ta 0.500 0.671 0.342
Ta3 Ta 0.000 0.500 0.000
Ta4 Ta 0.500 0.329 0.658
```